[1]
The following is a PBE calculation of an optimized crystal structure of Dy2HfThP4, from Alexandria.

Cell and atoms, written as POSCAR:
```
Dy2HfThP4
1.0
3.965 0.000 0.000
0.000 6.864 0.123
0.000 -2.395 6.439
Dy Hf P Th
2 1 4 1
Direct
0.000 0.500 0.500 Dy
0.500 0.000 0.500 Dy
0.000 0.000 0.000 Hf
0.000 0.764 0.249 P
0.000 0.236 0.751 P
0.500 0.767 0.761 P
0.500 0.233 0.239 P
0.500 0.500 0.000 Th
```


[2]
The following is a PBE calculation of an optimized crystal structure of Dy2TmHfP4, from Alexandria.

Cell and atoms, written as POSCAR:
```
Dy2TmHfP4
1.0
3.897 0.000 0.000
0.000 6.758 0.128
0.000 -2.352 6.342
P Dy Hf Tm
4 2 1 1
Direct
0.000 0.245 0.760 P
0.500 0.238 0.236 P
0.000 0.755 0.240 P
0.500 0.762 0.764 P
0.000 0.500 0.500 Dy
0.500 0.000 0.500 Dy
0.000 0.000 0.000 Hf
0.500 0.500 0.000 Tm
```


[3]
The following is a PBE calculation of an optimized crystal structure of DyHfU2P4, from Alexandria.

Cell and atoms, written as POSCAR:
```
DyHfU2P4
1.0
-2.401 -3.012 0.327
0.519 -1.129 -6.588
4.824 -3.494 3.239
P Hf U Dy
4 1 2 1
Direct
0.000 0.758 0.247 P
0.500 0.762 0.759 P
0.500 0.238 0.241 P
0.000 0.242 0.753 P
0.000 0.000 0.000 Hf
0.500 0.000 0.500 U
0.000 0.500 0.500 U
0.500 0.500 0.000 Dy
```


[4]
The following is a PBE calculation of an optimized crystal structure of DyY2HfP4, from Alexandria.

Cell and atoms, written as POSCAR:
```
DyY2HfP4
1.0
-2.814 2.406 1.278
-4.710 -4.553 -1.798
1.913 -1.171 6.414
P Hf Y Dy
4 1 2 1
Direct
0.500 0.236 0.236 P
0.000 0.243 0.758 P
0.500 0.764 0.764 P
0.000 0.757 0.242 P
0.000 0.000 0.000 Hf
0.000 0.500 0.500 Y
0.500 0.000 0.500 Y
0.500 0.500 0.000 Dy
```


[5]
The following is a PBE calculation of an optimized crystal structure of Dy2HfZrP4, from Alexandria.

Cell and atoms, written as POSCAR:
```
Dy2HfZrP4
1.0
-3.802 0.267 0.416
-0.168 -6.186 2.430
0.858 4.349 5.054
P Dy Hf Zr
4 2 1 1
Direct
0.500 0.753 0.765 P
0.500 0.247 0.235 P
0.000 0.258 0.767 P
0.000 0.742 0.233 P
0.500 0.000 0.500 Dy
0.000 0.500 0.500 Dy
0.500 0.500 0.000 Hf
0.000 0.000 0.000 Zr
```


[6]
The following is a PBE calculation of an optimized crystal structure of Dy2HfPa, from Alexandria.

Cell and atoms, written as POSCAR:
```
Dy2HfPa
1.0
-1.589 -1.364 -2.519
1.619 -0.742 -2.750
2.390 -11.384 2.528
Dy Hf Pa
2 1 1
Direct
0.088 0.088 0.735 Dy
0.912 0.912 0.265 Dy
0.000 0.000 0.000 Hf
0.500 0.500 0.500 Pa
```


[7]
DyHfPa2 (PBE, optimized geometry); energy above the lowest structure with this stoichiometry = 253.7 meV/atom
1.0
5.266 0.000 0.000
2.633 4.561 0.000
2.633 1.520 4.297
Pa Hf Dy
2 1 1
Direct
0.750 0.750 0.751 Pa
0.250 0.250 0.249 Pa
0.500 0.500 0.500 Hf
0.000 0.000 0.000 Dy


[8]
The following is a PBE calculation of an optimized crystal structure of Dy3Hf12Pa5, from Alexandria.

Cell and atoms, written as POSCAR:
```
Dy3Hf12Pa5
1.0
14.811 0.000 0.000
-4.937 13.964 0.000
-4.937 -6.982 12.093
Hf Dy Pa
48 12 20
Direct
0.070 0.148 0.421 Hf
0.930 0.079 0.852 Hf
0.921 0.852 0.773 Hf
0.430 0.352 0.579 Hf
0.352 0.921 0.773 Hf
0.352 0.430 0.079 Hf
0.273 0.852 0.921 Hf
0.727 0.579 0.148 Hf
0.773 0.352 0.921 Hf
0.727 0.148 0.079 Hf
0.070 0.921 0.148 Hf
0.570 0.648 0.421 Hf
0.227 0.579 0.648 Hf
0.148 0.079 0.727 Hf
0.579 0.352 0.930 Hf
0.079 0.430 0.852 Hf
0.921 0.352 0.273 Hf
0.852 0.930 0.079 Hf
0.852 0.921 0.273 Hf
0.421 0.273 0.352 Hf
0.570 0.921 0.648 Hf
0.352 0.773 0.421 Hf
0.921 0.070 0.648 Hf
0.579 0.227 0.148 Hf
0.579 0.852 0.430 Hf
0.421 0.773 0.852 Hf
0.430 0.079 0.352 Hf
0.079 0.648 0.727 Hf
0.148 0.727 0.579 Hf
0.852 0.273 0.421 Hf
0.227 0.648 0.079 Hf
0.352 0.579 0.430 Hf
0.921 0.570 0.148 Hf
0.079 0.930 0.352 Hf
0.648 0.079 0.227 Hf
0.079 0.148 0.227 Hf
0.773 0.421 0.352 Hf
0.421 0.148 0.570 Hf
0.148 0.421 0.070 Hf
0.930 0.852 0.579 Hf
0.648 0.570 0.921 Hf
0.148 0.070 0.921 Hf
0.648 0.227 0.579 Hf
0.648 0.421 0.570 Hf
0.579 0.727 0.648 Hf
0.273 0.421 0.852 Hf
0.852 0.579 0.930 Hf
0.421 0.648 0.070 Hf
0.125 0.875 0.750 Dy
0.625 0.250 0.375 Dy
0.750 0.875 0.625 Dy
0.250 0.125 0.375 Dy
0.750 0.375 0.125 Dy
0.875 0.125 0.250 Dy
0.250 0.625 0.875 Dy
0.625 0.375 0.750 Dy
0.375 0.625 0.250 Dy
0.125 0.250 0.875 Dy
0.375 0.750 0.625 Dy
0.875 0.750 0.125 Dy
0.750 0.625 0.375 Pa
0.625 0.750 0.875 Pa
0.500 0.000 0.000 Pa
0.875 0.250 0.625 Pa
0.375 0.125 0.750 Pa
0.500 0.500 0.000 Pa
0.125 0.375 0.250 Pa
0.000 0.500 0.000 Pa
0.000 0.000 0.500 Pa
0.125 0.750 0.375 Pa
0.250 0.375 0.625 Pa
0.500 0.500 0.500 Pa
0.875 0.625 0.750 Pa
0.000 0.500 0.500 Pa
0.750 0.125 0.875 Pa
0.250 0.875 0.125 Pa
0.625 0.875 0.250 Pa
0.500 0.000 0.500 Pa
0.375 0.250 0.125 Pa
0.000 0.000 0.000 Pa
```


[9]
DyHf2Pa (PBE, optimized geometry); energy above the lowest structure with this stoichiometry = 0.0 meV/atom
1.0
-3.034 2.216 0.673
-2.276 -2.646 -1.548
-0.795 -2.999 6.295
Dy Hf Pa
1 2 1
Direct
0.500 0.500 0.500 Dy
0.000 0.000 0.210 Hf
0.000 0.000 0.790 Hf
0.500 0.500 0.000 Pa


[10]
DyHf2Pa (PBE, optimized geometry); energy above the lowest structure with this stoichiometry = 107.0 meV/atom
1.0
-4.529 1.095 -2.089
-0.471 0.272 -5.077
-2.659 -3.920 -2.531
Hf Dy Pa
2 1 1
Direct
0.229 0.229 0.314 Hf
0.771 0.771 0.686 Hf
0.000 0.000 0.000 Dy
0.500 0.500 0.500 Pa


[11]
DyHfPa2 (PBE, optimized geometry); energy above the lowest structure with this stoichiometry = 0.0 meV/atom
1.0
-2.693 1.671 0.133
-1.495 -2.508 1.239
2.433 3.177 9.362
Hf Pa Dy
1 2 1
Direct
0.500 0.500 0.000 Hf
0.000 0.000 0.764 Pa
0.000 0.000 0.236 Pa
0.500 0.500 0.500 Dy


[12]
DyHfPb2 (PBE, optimized geometry); energy above the lowest structure with this stoichiometry = 24.7 meV/atom
1.0
-0.809 3.456 3.338
-3.728 3.089 -0.546
-4.611 -1.092 3.568
Hf Pb Dy
1 2 1
Direct
0.500 0.500 0.500 Hf
0.242 0.242 0.273 Pb
0.758 0.758 0.727 Pb
0.000 0.000 0.000 Dy


no.,VASP energy (eV per atom),ΔE_f (meV per atom),volume (A^3/atom)
1,-7.5015,-1474,22.05
2,-7.1965,-1538,21.03
3,-8.5660,-1220,20.75
4,-7.6787,-1538,21.34
5,-7.6346,-1466,20.22
6,-6.7956,368,27.31
7,-7.9445,442,25.80
8,-7.5303,1506,31.26
9,-8.3383,163,25.57
10,-8.2312,270,25.35
11,-8.1982,189,25.60
12,-5.6053,-112,26.84